[1]
Be5Ni3 after structural relaxation, computed with GGA-PBEsol.

Output
- Calculated formation energy: -363.2 meV/atom

Lattice parameters (Å, degrees): 4.447 4.447 3.628 90.00 90.00 108.83
Sites, in units of the cell vectors:
Be 0.000 0.000 0.000
Be 0.000 0.500 0.000
Be 0.257 0.257 0.500
Be 0.500 0.000 0.000
Be 0.743 0.743 0.500
Ni 0.244 0.756 0.500
Ni 0.500 0.500 0.000
Ni 0.756 0.244 0.500

---

[2]
SrHfIn2F after structural relaxation, computed with GGA-PBEsol.

Output
- E_form (uncorrected): -0.037 eV/atom

Lattice parameters (Å, degrees): 5.951 5.951 4.160 90.00 90.00 90.00
Sites, in units of the cell vectors:
Sr 0.000 0.000 0.000
Hf 0.500 0.500 0.500
In 0.000 0.500 0.000
In 0.500 0.000 0.000
F 0.000 0.000 0.500

---

[3]
YRe2GeRh after structural relaxation, computed with GGA-PBEsol.

Output
- Calculated formation energy: 727.6 meV/atom

Lattice parameters (Å, degrees): 4.574 4.574 4.521 90.00 90.00 90.00
Sites, in units of the cell vectors:
Y 0.000 0.000 0.000
Re 0.000 0.500 0.500
Re 0.500 0.000 0.500
Ge 0.500 0.500 0.500
Rh 0.500 0.500 0.000

---

[4]
Sr2YAu after structural relaxation, computed with GGA-PBEsol.

Output
- Calculated formation energy: -247.1 meV/atom

Lattice parameters (Å, degrees): 3.963 7.356 7.356 41.43 90.00 90.00
Sites, in units of the cell vectors:
Sr 0.000 0.000 0.000
Sr 0.500 0.316 0.316
Y 0.000 0.687 0.687
Au 0.500 0.541 0.541

---

[5]
Li3Hg after structural relaxation, computed with GGA-PBEsol.

Output
- Distance to the lowest polymorph of the same formula: 0.24 eV/f.u.
- Calculated formation energy: -248.9 meV/atom

Lattice parameters (Å, degrees): 3.259 3.707 5.898 90.00 90.00 90.00
Sites, in units of the cell vectors:
Li 0.000 0.000 0.000
Li 0.500 0.500 0.270
Li 0.500 0.500 0.730
Hg 0.000 0.000 0.500

---

[6]
CaAl2PdC after structural relaxation, computed with GGA-PBEsol.

Output
- Calculated formation energy: 192.2 meV/atom

Lattice parameters (Å, degrees): 4.049 4.049 4.885 90.00 90.00 90.00
Sites, in units of the cell vectors:
Ca 0.000 0.000 0.000
Al 0.000 0.500 0.500
Al 0.500 0.000 0.500
Pd 0.500 0.500 0.000
C 0.500 0.500 0.500

---

[7]
MnB2H17N3 after structural relaxation, computed with GGA-PBEsol.

Output
- Raw total energy: -4.8040 eV per atom

Lattice parameters (Å, degrees): 11.334 7.978 8.958 90.00 90.00 90.00
Sites, in units of the cell vectors:
Mn 0.182 0.250 0.044
Mn 0.318 0.750 0.544
Mn 0.682 0.250 0.456
Mn 0.818 0.750 0.956
B 0.055 0.250 0.806
B 0.142 0.250 0.298
B 0.358 0.750 0.798
B 0.445 0.750 0.306
B 0.555 0.250 0.694
B 0.642 0.250 0.202
B 0.858 0.750 0.702
B 0.945 0.750 0.194
H 0.017 0.121 0.748
H 0.017 0.379 0.748
H 0.023 0.250 0.940
H 0.049 0.250 0.224
H 0.074 0.750 0.593
H 0.102 0.649 0.438
H 0.102 0.851 0.438
H 0.109 0.577 0.085
H 0.109 0.923 0.085
H 0.119 0.250 0.432
H 0.121 0.536 0.904
H 0.121 0.964 0.904
H 0.165 0.250 0.799
H 0.199 0.124 0.265
H 0.199 0.376 0.265
H 0.239 0.589 0.999
H 0.239 0.911 0.999
H 0.261 0.089 0.499
H 0.261 0.411 0.499
H 0.301 0.624 0.765
H 0.301 0.876 0.765
H 0.335 0.750 0.299
H 0.379 0.036 0.404
H 0.379 0.464 0.404
H 0.381 0.750 0.932
H 0.391 0.077 0.585
H 0.391 0.423 0.585
H 0.398 0.149 0.938
H 0.398 0.351 0.938
H 0.426 0.250 0.093
H 0.451 0.750 0.724
H 0.477 0.750 0.440
H 0.483 0.621 0.248
H 0.483 0.879 0.248
H 0.517 0.121 0.752
H 0.517 0.379 0.752
H 0.523 0.250 0.560
H 0.549 0.250 0.276
H 0.574 0.750 0.907
H 0.602 0.649 0.062
H 0.602 0.851 0.062
H 0.609 0.577 0.415
H 0.609 0.923 0.415
H 0.619 0.250 0.068
H 0.621 0.536 0.596
H 0.621 0.964 0.596
H 0.665 0.250 0.701
H 0.699 0.124 0.235
H 0.699 0.376 0.235
H 0.739 0.589 0.501
H 0.739 0.911 0.501
H 0.761 0.089 0.001
H 0.761 0.411 0.001
H 0.801 0.624 0.735
H 0.801 0.876 0.735
H 0.835 0.750 0.201
H 0.879 0.036 0.096
H 0.879 0.464 0.096
H 0.881 0.750 0.568
H 0.891 0.077 0.915
H 0.891 0.423 0.915
H 0.898 0.149 0.562
H 0.898 0.351 0.562
H 0.926 0.250 0.407
H 0.951 0.750 0.776
H 0.977 0.750 0.060
H 0.983 0.621 0.252
H 0.983 0.879 0.252
N 0.128 0.750 0.501
N 0.162 0.521 0.006
N 0.162 0.979 0.006
N 0.338 0.021 0.506
N 0.338 0.479 0.506
N 0.372 0.250 0.001
N 0.628 0.750 0.999
N 0.662 0.521 0.494
N 0.662 0.979 0.494
N 0.838 0.021 0.994
N 0.838 0.479 0.994
N 0.872 0.250 0.499

---

[8]
ZrTiPd2 after structural relaxation, computed with GGA-PBEsol.

Output
- Calculated formation energy: -512.5 meV/atom

Lattice parameters (Å, degrees): 4.557 4.557 4.557 60.00 60.00 60.00
Sites, in units of the cell vectors:
Zr 0.000 0.000 0.000
Ti 0.500 0.500 0.500
Pd 0.250 0.250 0.250
Pd 0.750 0.750 0.750

---

[9]
NbCo2BrCl after structural relaxation, computed with GGA-PBEsol.

Output
- E_form (uncorrected): 1.041 eV/atom

Lattice parameters (Å, degrees): 3.957 3.957 5.797 90.00 90.00 90.00
Sites, in units of the cell vectors:
Nb 0.000 0.000 0.000
Co 0.000 0.500 0.500
Co 0.500 0.000 0.500
Br 0.500 0.500 0.000
Cl 0.500 0.500 0.500

---

[10]
MnFeNi2 after structural relaxation, computed with GGA-PBEsol.

Output
- Calculated formation energy: 51.8 meV/atom

Lattice parameters (Å, degrees): 4.252 4.252 4.290 99.32 99.32 33.38
Sites, in units of the cell vectors:
Mn 0.000 0.000 0.000
Fe 0.249 0.249 0.756
Ni 0.500 0.500 0.501
Ni 0.749 0.749 0.255

---

[11]
TaCr2Ag after structural relaxation, computed with GGA-PBEsol.

Output
- Distance to the lowest polymorph of the same formula: 0.91 eV/f.u.
- Calculated formation energy: 551.6 meV/atom

Lattice parameters (Å, degrees): 2.605 2.605 8.492 90.00 90.00 90.00
Sites, in units of the cell vectors:
Ta 0.000 0.000 0.000
Cr 0.500 0.500 0.254
Cr 0.500 0.500 0.746
Ag 0.000 0.000 0.500

---

[12]
La2TiHPd after structural relaxation, computed with GGA-PBEsol.

Output
- Raw total energy: -5.4970 eV per atom

Lattice parameters (Å, degrees): 5.442 5.442 3.467 90.00 90.00 90.00
Sites, in units of the cell vectors:
La 0.000 0.500 0.000
La 0.500 0.000 0.000
Ti 0.000 0.000 0.000
H 0.000 0.000 0.500
Pd 0.500 0.500 0.500

---

[13]
GaTc3F after structural relaxation, computed with GGA-PBEsol.

Output
- E_form (uncorrected): 1.990 eV/atom

Lattice parameters (Å, degrees): 4.582 4.582 4.582 90.00 90.00 90.00
Sites, in units of the cell vectors:
Ga 0.000 0.000 0.000
Tc 0.000 0.000 0.500
Tc 0.000 0.500 0.000
Tc 0.500 0.000 0.000
F 0.500 0.500 0.500

---

[14]
InHIr3 after structural relaxation, computed with GGA-PBEsol.

Output
- Raw total energy: -7.0422 eV per atom

Lattice parameters (Å, degrees): 3.986 3.986 3.986 90.00 90.00 90.00
Sites, in units of the cell vectors:
In 0.000 0.000 0.000
H 0.500 0.500 0.500
Ir 0.000 0.500 0.500
Ir 0.500 0.000 0.500
Ir 0.500 0.500 0.000

---

[15]
CaBe3 after structural relaxation, computed with GGA-PBEsol.

Output
- Distance to the lowest polymorph of the same formula: 8.19 eV/f.u.
- Calculated formation energy: 2514.0 meV/atom

Lattice parameters (Å, degrees): 5.756 5.756 5.756 90.00 90.00 90.00
Sites, in units of the cell vectors:
Ca 0.000 0.000 0.000
Be 0.000 0.000 0.500
Be 0.000 0.500 0.000
Be 0.500 0.000 0.000

---

[16]
La3Cu after structural relaxation, computed with GGA-PBEsol.

Output
- Calculated formation energy: -13.3 meV/atom

Lattice parameters (Å, degrees): 6.405 6.405 6.405 147.48 64.03 126.49
Sites, in units of the cell vectors:
La 0.000 0.000 0.000
La 0.372 0.576 0.796
La 0.779 0.576 0.204
Cu 0.420 0.920 0.500

---

[17]
SrTe2Rh after structural relaxation, computed with GGA-PBEsol.

Output
- E_form (uncorrected): -0.725 eV/atom
- Distance to the lowest polymorph of the same formula: 0.20 eV/f.u.

Lattice parameters (Å, degrees): 5.270 4.070 5.288 90.00 106.68 90.00
Sites, in units of the cell vectors:
Sr 0.000 0.000 0.000
Te 0.309 0.500 0.691
Te 0.691 0.500 0.309
Rh 0.500 0.000 0.500

---

[18]
MgTlGa3 after structural relaxation, computed with GGA-PBEsol.

Output
- Calculated formation energy: 436.6 meV/atom

Lattice parameters (Å, degrees): 5.079 5.079 5.079 90.00 90.00 90.00
Sites, in units of the cell vectors:
Mg 0.000 0.000 0.000
Tl 0.500 0.500 0.500
Ga 0.000 0.000 0.500
Ga 0.000 0.500 0.000
Ga 0.500 0.000 0.000

---

[19]
CrSbBr2 after structural relaxation, computed with GGA-PBEsol.

Output
- E_form (uncorrected): -0.078 eV/atom
- Distance to the lowest polymorph of the same formula: 0.00 eV/f.u.

Lattice parameters (Å, degrees): 9.919 9.919 9.919 20.07 20.07 20.07
Sites, in units of the cell vectors:
Cr 0.000 0.000 0.000
Sb 0.500 0.500 0.500
Br 0.279 0.279 0.279
Br 0.721 0.721 0.721

---

[20]
BaOs2RhAu after structural relaxation, computed with GGA-PBEsol.

Output
- Calculated formation energy: 2397.2 meV/atom

Lattice parameters (Å, degrees): 4.843 4.843 5.686 90.00 90.00 90.00
Sites, in units of the cell vectors:
Ba 0.000 0.000 0.000
Os 0.000 0.500 0.500
Os 0.500 0.000 0.500
Rh 0.500 0.500 0.000
Au 0.000 0.000 0.500